Entry 1:
Material: Al4SbAs
Method: DFT, PBE-GGA
State: optimized geometry

Geometry as POSCAR:
```
Al4SbAs
1.0
0.000 3.871 3.871
3.871 0.000 3.871
3.871 3.871 0.000
Al As Sb
4 1 1
direct
0.875 0.375 0.375
0.375 0.375 0.875
0.375 0.375 0.375
0.375 0.875 0.375
0.750 0.750 0.750
0.000 0.000 0.000
```

Formation energy without anion corrections ... 0.244 eV/atom
Space-group type ... No. 216

***

Entry 2:
Material: Pm12AlTl3
Method: DFT, PBE-GGA
State: optimized geometry

Geometry as POSCAR:
```
Pm12AlTl3
1.0
-0.169 3.342 3.627
1.114 -3.510 3.286
19.269 3.734 -2.542
Pm Tl Al
12 3 1
direct
0.000 0.500 0.880
0.000 0.500 0.626
0.500 0.500 0.753
0.500 0.500 0.000
0.500 0.000 0.626
0.500 0.500 0.500
0.500 0.000 0.374
0.000 0.500 0.374
0.500 0.000 0.880
0.500 0.000 0.120
0.000 0.500 0.120
0.500 0.500 0.247
0.000 0.000 0.752
0.000 0.000 0.248
0.000 0.000 0.500
0.000 0.000 0.000
```

DFT formation energy ... -0.196 eV/atom
Space-group type ... No. 123

***

Entry 3:
Material: SrLaGa
Method: DFT, PBE-GGA
State: optimized geometry

Geometry as POSCAR:
```
SrLaGa
1.0
6.925 0.003 0.000
0.000 4.792 -0.002
3.466 -2.394 6.464
Sr La Ga
2 2 2
direct
0.603 0.612 0.396
0.184 0.029 0.231
0.677 0.321 0.814
0.110 0.320 0.813
0.783 0.932 0.035
0.004 0.709 0.591
```

Polymorph energy (0 for the lowest one) ... 85 meV per atom
DFT formation energy ... -0.285 eV/atom
Space-group type ... No. 12

***

Entry 4:
Material: NbAgPt2
Method: DFT, PBE-GGA
State: optimized geometry

Geometry as POSCAR:
```
NbAgPt2
1.0
-4.522 -5.275 2.203
0.834 -3.387 -6.399
0.325 -5.757 -1.061
Pt Ag Nb
4 2 2
direct
0.375 0.398 0.750
0.148 0.625 0.250
0.875 0.852 0.750
0.602 0.125 0.250
0.750 0.250 0.500
0.000 0.000 0.000
0.500 0.500 0.000
0.250 0.750 0.500
```

DFT formation energy ... 0.093 eV/atom
Space-group type ... No. 122

***

Repeat the second record exactly.
Material: Pm12AlTl3
Method: DFT, PBE-GGA
State: optimized geometry

Geometry as POSCAR:
```
Pm12AlTl3
1.0
-0.169 3.342 3.627
1.114 -3.510 3.286
19.269 3.734 -2.542
Pm Tl Al
12 3 1
direct
0.000 0.500 0.880
0.000 0.500 0.626
0.500 0.500 0.753
0.500 0.500 0.000
0.500 0.000 0.626
0.500 0.500 0.500
0.500 0.000 0.374
0.000 0.500 0.374
0.500 0.000 0.880
0.500 0.000 0.120
0.000 0.500 0.120
0.500 0.500 0.247
0.000 0.000 0.752
0.000 0.000 0.248
0.000 0.000 0.500
0.000 0.000 0.000
```

DFT formation energy ... -0.196 eV/atom
Space-group type ... No. 123